Entry 1:
Computed, not measured: an optimized crystal structure of TeCl3 at the GGA-PBE level of DFT.

a = 4.978 Å, b = 4.978 Å, c = 4.978 Å
α = 60.00°, β = 60.00°, γ = 60.00°
Positions (direct):
Cl  0.250  0.250  0.250
Cl  0.750  0.750  0.750
Cl  0.000  0.000  0.000
Te  0.500  0.500  0.500

Output
Total DFT energy (no corrections) (eV for the cell shown): -7.66
Offset from the most stable computed form (eV per atom): 0.6749

Entry 2:
Computed, not measured: an optimized crystal structure of TaRu2N2 at the GGA-PBE level of DFT.

a = 6.680 Å, b = 6.680 Å, c = 2.850 Å
α = 90.00°, β = 90.00°, γ = 90.00°
Positions (direct):
N  0.284  0.216  0.500
N  0.216  0.716  0.500
N  0.716  0.784  0.500
N  0.784  0.284  0.500
Ta  0.500  0.500  0.000
Ta  0.000  0.000  0.000
Ru  0.135  0.365  0.000
Ru  0.865  0.635  0.000
Ru  0.365  0.865  0.000
Ru  0.635  0.135  0.000

Output
Total DFT energy (no corrections) (eV for the cell shown): -83.50
Offset from the most stable computed form (eV per atom): 0.5134

Entry 3:
Computed, not measured: an optimized crystal structure of LiSbSe2 at the GGA-PBE level of DFT.

a = 5.121 Å, b = 5.121 Å, c = 5.121 Å
α = 130.60°, β = 111.70°, γ = 88.82°
Positions (direct):
Se  0.478  0.478  0.000
Se  0.022  0.022  0.000
Li  0.250  0.750  0.500
Sb  0.750  0.250  0.500

Output
Total DFT energy (no corrections) (eV for the cell shown): -14.37

Entry 4:
Computed, not measured: an optimized crystal structure of TaTcP at the GGA-PBE level of DFT.

a = 5.443 Å, b = 5.443 Å, c = 5.443 Å
α = 148.37°, β = 148.37°, γ = 45.34°
Positions (direct):
P  0.979  0.979  0.000
Tc  0.362  0.362  0.000
Ta  0.659  0.659  0.000

Output
Total DFT energy (no corrections) (eV for the cell shown): -28.83
ΔE_f (eV per atom): -0.4016
Offset from the most stable computed form (eV per atom): 0.1638

Entry 5:
Computed, not measured: an optimized crystal structure of Na2ThPbO6 at the GGA-PBE level of DFT.

a = 5.936 Å, b = 6.053 Å, c = 8.417 Å
α = 90.00°, β = 90.32°, γ = 90.00°
Positions (direct):
O  0.202  0.198  0.442
O  0.613  0.054  0.254
O  0.192  0.207  0.058
O  0.113  0.446  0.754
O  0.387  0.946  0.746
O  0.692  0.293  0.558
O  0.298  0.698  0.058
O  0.798  0.802  0.558
O  0.887  0.554  0.246
O  0.308  0.707  0.442
O  0.702  0.302  0.942
O  0.808  0.793  0.942
Na  0.991  0.040  0.750
Na  0.009  0.960  0.250
Na  0.491  0.460  0.250
Na  0.509  0.540  0.750
Th  0.000  0.500  0.500
Th  0.500  0.000  0.000
Pb  0.500  0.000  0.500
Pb  0.000  0.500  0.000

Output
Total DFT energy (no corrections) (eV for the cell shown): -120.33

Entry 6:
Computed, not measured: an optimized crystal structure of KMgSiW at the GGA-PBE level of DFT.

a = 2.822 Å, b = 4.226 Å, c = 8.716 Å
α = 90.00°, β = 90.46°, γ = 90.00°
Positions (direct):
W  0.334  0.000  0.176
Si  0.834  0.500  0.168
Mg  0.826  0.000  0.894
K  0.337  0.500  0.521

Output
Total DFT energy (no corrections) (eV for the cell shown): -19.37
Offset from the most stable computed form (eV per atom): 0.0720